# 1
A plane-wave DFT calculation with GGA-PBE was carried out for crystalline TlW2Br at its relaxed geometry.

Distance to the lowest polymorph of the same formula   739 meV/atom
Space group   R-3m, No. 166
E_form (uncorrected)   1.185 eV per atom

The structure in POSCAR format:
```
TlW2Br
1.0
9.429 -0.003 -0.002
8.941 2.995 -0.002
8.941 1.456 2.617
W Tl Br
2 1 1
Direct
0.496 0.496 0.496 W
0.004 0.004 0.004 W
0.250 0.250 0.250 Tl
0.750 0.750 0.750 Br
```

=====

# 2
A plane-wave DFT calculation with GGA-PBE was carried out for crystalline TlW2Br at its relaxed geometry.

Distance to the lowest polymorph of the same formula   0 meV/atom
Space group   Pm, No. 6
E_form (uncorrected)   0.446 eV per atom

The structure in POSCAR format:
```
TlW2Br
1.0
-2.269 -2.047 -0.806
1.503 -0.512 -2.929
5.260 -6.706 2.226
Tl Br W
1 1 2
Direct
0.500 0.656 0.804 Tl
0.000 0.335 0.445 Br
0.500 0.451 0.203 W
0.000 0.058 0.048 W
```

=====

# 3
A plane-wave DFT calculation with GGA-PBE was carried out for crystalline TlW3Br at its relaxed geometry.

Distance to the lowest polymorph of the same formula   0 meV/atom
Space group   Pm-3m, No. 221
E_form (uncorrected)   2.204 eV per atom

The structure in POSCAR format:
```
TlW3Br
1.0
-3.053 0.725 3.439
2.257 -3.087 2.654
2.694 3.408 1.673
Br Tl W
1 1 3
Direct
0.000 0.000 0.000 Br
0.500 0.500 0.500 Tl
0.000 0.500 0.000 W
0.500 0.000 0.000 W
0.000 0.000 0.500 W
```

=====

# 4
A plane-wave DFT calculation with GGA-PBE was carried out for crystalline TlWBr4 at its relaxed geometry.

Distance to the lowest polymorph of the same formula   1636 meV/atom
Space group   F-43m, No. 216
E_form (uncorrected)   1.165 eV per atom

The structure in POSCAR format:
```
TlWBr4
1.0
0.000 4.520 4.520
4.520 0.000 4.520
4.520 4.520 0.000
Br W Tl
4 1 1
Direct
0.374 0.878 0.374 Br
0.878 0.374 0.374 Br
0.374 0.374 0.878 Br
0.374 0.374 0.374 Br
0.000 0.000 0.000 W
0.750 0.750 0.750 Tl
```

=====

# 5
A plane-wave DFT calculation with GGA-PBE was carried out for crystalline TlW2Br at its relaxed geometry.

Distance to the lowest polymorph of the same formula   146 meV/atom
Space group   P4mm, No. 99
E_form (uncorrected)   0.592 eV per atom

The structure in POSCAR format:
```
TlW2Br
1.0
3.216 0.000 0.000
0.000 3.216 0.000
0.000 0.000 8.608
Br W Tl
1 2 1
Direct
0.000 0.000 0.438 Br
0.000 0.000 0.052 W
0.500 0.500 0.209 W
0.500 0.500 0.802 Tl
```

=====

# 6
A plane-wave DFT calculation with GGA-PBE was carried out for crystalline TlW2Br at its relaxed geometry.

Distance to the lowest polymorph of the same formula   498 meV/atom
Space group   Cm, No. 8
E_form (uncorrected)   0.944 eV per atom

The structure in POSCAR format:
```
TlW2Br
1.0
5.602 -0.141 1.232
4.793 2.904 1.232
2.850 0.758 6.129
W Tl Br
2 1 1
Direct
0.688 0.688 0.886 W
0.063 0.063 0.784 W
0.308 0.308 0.246 Tl
0.442 0.442 0.584 Br
```

=====

# 7
A plane-wave DFT calculation with GGA-PBE was carried out for crystalline TlWBr3 at its relaxed geometry.

Distance to the lowest polymorph of the same formula   0 meV/atom
Space group   Pm-3m, No. 221
E_form (uncorrected)   0.049 eV per atom

The structure in POSCAR format:
```
TlWBr3
1.0
-5.311 -0.991 -0.020
0.596 -3.106 -4.381
0.792 -4.309 3.162
Br Tl W
3 1 1
Direct
0.000 0.500 0.000 Br
0.000 0.000 0.500 Br
0.500 0.000 0.000 Br
0.500 0.500 0.500 Tl
0.000 0.000 0.000 W
```

=====

# 8
A plane-wave DFT calculation with GGA-PBE was carried out for crystalline TlW2Br at its relaxed geometry.

Distance to the lowest polymorph of the same formula   152 meV/atom
Space group   Cmm2, No. 35
E_form (uncorrected)   0.598 eV per atom

The structure in POSCAR format:
```
TlW2Br
1.0
-2.063 -2.139 0.832
2.587 0.058 1.682
-4.367 6.731 6.482
Br Tl W
1 1 2
Direct
0.000 0.000 0.443 Br
0.500 0.500 0.782 Tl
0.500 0.500 0.229 W
0.000 0.000 0.046 W
```